(1)
La6NiPt2I3 | GGA-PBE | optimized geometry

Summary:
Calculated total energy: -0.19840 hartree per atom
Magnetization: 0.00 μB/cell

Cell: 7.447 7.447 8.601 Å, 98.30 98.30 119.97°
Positions (direct):
La 0.062 0.387 0.186
La 0.264 0.264 0.814
La 0.387 0.062 0.186
La 0.613 0.938 0.814
La 0.736 0.736 0.186
La 0.938 0.613 0.814
Ni 0.000 0.000 0.000
Pt 0.333 0.667 0.000
Pt 0.667 0.333 0.000
I 0.167 0.833 0.500
I 0.500 0.500 0.500
I 0.833 0.167 0.500



(2)
Sc3Ga3Co2 | GGA-PBE | optimized geometry

Summary:
Energy relative to the elements: -49.74 kJ/mol of atoms
Calculated total energy: -0.21320 hartree per atom
Magnetization: 0.00 μB/cell

Cell: 6.970 14.478 5.382 Å, 90.00 90.00 90.00°
Positions (direct):
Sc 0.036 0.110 0.111
Sc 0.036 0.390 0.111
Sc 0.169 0.250 0.642
Sc 0.331 0.750 0.142
Sc 0.464 0.610 0.611
Sc 0.464 0.890 0.611
Sc 0.536 0.110 0.389
Sc 0.536 0.390 0.389
Sc 0.669 0.250 0.858
Sc 0.831 0.750 0.358
Sc 0.964 0.610 0.889
Sc 0.964 0.890 0.889
Ga 0.172 0.035 0.596
Ga 0.172 0.465 0.596
Ga 0.174 0.750 0.638
Ga 0.326 0.250 0.138
Ga 0.328 0.535 0.096
Ga 0.328 0.965 0.096
Ga 0.672 0.035 0.904
Ga 0.672 0.465 0.904
Ga 0.674 0.750 0.862
Ga 0.826 0.250 0.362
Ga 0.828 0.535 0.404
Ga 0.828 0.965 0.404
Co 0.127 0.614 0.376
Co 0.127 0.886 0.376
Co 0.373 0.114 0.876
Co 0.373 0.386 0.876
Co 0.627 0.614 0.124
Co 0.627 0.886 0.124
Co 0.873 0.114 0.624
Co 0.873 0.386 0.624